1.
DFT (GGA-PBEsol) results for a geometry-optimized LiHf2PtN structure.

a b c (Å): 4.372 4.372 3.723
angles (deg): 90.00 90.00 90.00
Space group P4/mmm (No. 123)
Asymmetric unit:
Li1 0.000 0.000 0.000 (multiplicity 1)
Hf1 0.000 0.500 0.500 (multiplicity 2)
Pt1 0.500 0.500 0.000 (multiplicity 1)
N1 0.000 0.000 0.500 (multiplicity 1)

Properties
Energy relative to the elements, uncorrected: -5.9 eV per formula unit

***

2.
DFT (GGA-PBEsol) results for a geometry-optimized ReNiHg2 structure.

a b c (Å): 4.138 4.138 7.608
angles (deg): 90.00 90.00 90.00
Space group I4/mmm (No. 139)
Asymmetric unit:
Re1 0.000 0.000 0.000 (multiplicity 2)
Ni1 0.000 0.000 0.500 (multiplicity 2)
Hg1 0.000 0.500 0.250 (multiplicity 4)

Properties
Polymorph energy (0 for the lowest one): 493.3 meV/atom

***

3.
DFT (GGA-PBEsol) results for a geometry-optimized Ba2TcAg structure.

a b c (Å): 7.994 3.389 8.987
angles (deg): 90.00 96.67 90.00
Space group C2/m (No. 12)
Asymmetric unit:
Ba1 0.247 0.000 0.234 (multiplicity 4)
Tc1 0.000 0.500 0.000 (multiplicity 2)
Ag1 0.000 0.000 0.500 (multiplicity 2)

Properties
Polymorph energy (0 for the lowest one): 103.4 meV/atom

***

4.
DFT (GGA-PBEsol) results for a geometry-optimized YAg3C structure.

a b c (Å): 5.401 5.401 5.401
angles (deg): 90.00 90.00 90.00
Space group Pm-3m (No. 221)
Asymmetric unit:
Y1 0.000 0.000 0.000 (multiplicity 1)
Ag1 0.000 0.000 0.500 (multiplicity 3)
C1 0.500 0.500 0.500 (multiplicity 1)

Properties
Total energy: -13.893 eV per cell

***

5.
DFT (GGA-PBEsol) results for a geometry-optimized MnNi2Pt structure.

a b c (Å): 3.632 3.632 7.239
angles (deg): 90.00 90.00 90.00
Space group I-4m2 (No. 119)
Asymmetric unit:
Mn1 0.000 0.000 0.000 (multiplicity 2)
Ni1 0.000 0.000 0.500 (multiplicity 2)
Ni2 0.000 0.500 0.250 (multiplicity 2)
Pt1 0.000 0.500 0.750 (multiplicity 2)

Properties
Total energy: -59.121 eV per cell

***

6.
DFT (GGA-PBEsol) results for a geometry-optimized KZr2P structure.

a b c (Å): 4.421 4.421 4.046
angles (deg): 90.00 90.00 90.00
Space group P4/mmm (No. 123)
Asymmetric unit:
K1 0.000 0.000 0.000 (multiplicity 1)
Zr1 0.000 0.500 0.500 (multiplicity 2)
P1 0.500 0.500 0.000 (multiplicity 1)

Properties
Total energy: -23.637 eV per cell

***

7.
DFT (GGA-PBEsol) results for a geometry-optimized Ta2CrHgBr structure.

a b c (Å): 4.641 4.641 5.350
angles (deg): 90.00 90.00 90.00
Space group P4/mmm (No. 123)
Asymmetric unit:
Ta1 0.000 0.500 0.000 (multiplicity 2)
Cr1 0.000 0.000 0.500 (multiplicity 1)
Hg1 0.500 0.500 0.500 (multiplicity 1)
Br1 0.500 0.500 0.000 (multiplicity 1)

Properties
Energy relative to the elements, uncorrected: 8.9 eV per formula unit

***

8.
DFT (GGA-PBEsol) results for a geometry-optimized LaOsSe2 structure.

a b c (Å): 6.886 6.886 6.886
angles (deg): 90.00 90.00 90.00
Space group F-43m (No. 216)
Asymmetric unit:
La1 0.000 0.000 0.000 (multiplicity 4)
Os1 0.250 0.250 0.750 (multiplicity 4)
Se1 0.000 0.000 0.500 (multiplicity 4)
Se2 0.250 0.250 0.250 (multiplicity 4)

Properties
Polymorph energy (0 for the lowest one): 927.7 meV/atom
Energy relative to the elements, uncorrected: 0.8 eV per formula unit

***

Number 1: calculated density 13.4 Mg/m³. Number 2: calculated density 16.5 Mg/m³. Number 3: calculated density 6.6 Mg/m³. Number 4: calculated density 4.5 Mg/m³. Number 5: calculated density 12.8 Mg/m³. Number 6: calculated density 5.3 Mg/m³. Number 7: calculated density 10.0 Mg/m³. Number 8: calculated density 9.9 Mg/m³.